<i>
Entry from the Alexandria database: CrAuN2F after structural relaxation (PBE with a Hubbard U).

Structure (extended XYZ):
```
5
Lattice="3.9390 0.0000 0.0000 0.0000 3.9390 0.0000 0.0000 0.0000 5.1506" Properties=species:S:1:pos:R:3 pbc="T T T"
Cr 0.0000 0.0000 0.0000
Au 1.9695 1.9695 2.5753
N 0.0000 1.9695 2.5753
N 1.9695 0.0000 2.5753
F 1.9695 1.9695 0.0000
```

Computed properties:
Mass density: 6.1 g/cm³
D(E_F): 1.645 states/eV per cell

<ii>
Entry from the Alexandria database: CrAuN2F after structural relaxation (PBE with a Hubbard U).

Structure (extended XYZ):
```
5
Lattice="3.9363 0.0000 0.0000 0.0000 3.9363 0.0000 0.0000 0.0000 3.8792" Properties=species:S:1:pos:R:3 pbc="T T T"
Cr 0.0000 0.0000 0.0000
Au 1.9682 1.9682 1.9396
N 0.0000 1.9682 0.0000
N 1.9682 0.0000 0.0000
F 0.0000 0.0000 1.9396
```

Computed properties:
Mass density: 8.2 g/cm³
D(E_F): 2.525 states/eV per cell

Consider the structures shown above. The least stable of them is <i>.